CdRuPt | GGA-PBE | optimized geometry

Results
* energy of formation from the pure elements: 1.27 eV per formula unit
* ρ: 11.4 g cm⁻³

Lattice parameters (Å, degrees): 4.3808 4.3808 4.3808 60.00 60.00 60.00
Fractional positions:
Cd (0.0000, 0.0000, 0.0000)
Ru (0.5000, 0.5000, 0.5000)
Pt (0.2500, 0.2500, 0.2500)